[1]
Crystalline PmThBi at its relaxed geometry, computed with PBE.

Calculated values
symmetry: Ama2 (40)
distance to the lowest polymorph of the same formula: 309 meV per atom
E_form: -0.047 eV/atom

Cell and atoms, written as extended XYZ:
```
6
Lattice="6.5373 0.0000 0.0000 0.0000 3.4367 4.6192 0.0000 -3.4367 4.6192" Properties=species:S:1:pos:R:3 pbc="T T T"
Pm 1.6343 -2.4323 4.6192
Pm 4.9030 2.4323 4.6192
Th 1.6343 0.9288 5.4402
Th 4.9030 -0.9288 5.4402
Bi 0.0000 0.0000 2.6995
Bi 3.2687 0.0000 2.6995
```

***

[2]
Crystalline NiB2Rh8 at its relaxed geometry, computed with PBE.

Calculated values
symmetry: C2/m (12)
E_form: -0.019 eV/atom

Cell and atoms, written as extended XYZ:
```
11
Lattice="3.6037 -4.9518 0.0000 3.6037 4.9518 0.0000 -1.0368 0.0000 3.9672" Properties=species:S:1:pos:R:3 pbc="T T T"
Ni 0.0000 0.0000 0.0000
B 3.0853 1.7326 1.9836
B 3.0853 -1.7326 1.9836
Rh 0.7574 1.3154 2.3665
Rh 3.6037 2.4063 0.0000
Rh 0.7574 -1.3154 2.3665
Rh 2.4582 0.0000 0.7860
Rh 3.7123 0.0000 3.1811
Rh 5.4131 1.3154 1.6006
Rh 3.6037 -2.4063 0.0000
Rh 5.4131 -1.3154 1.6006
```

***

[3]
Crystalline NaCaHg2 at its relaxed geometry, computed with PBE.

Calculated values
symmetry: P4/mmm (123)
E_form: -0.371 eV/atom

Cell and atoms, written as extended XYZ:
```
4
Lattice="3.7676 0.0000 0.0000 0.0000 3.7676 0.0000 0.0000 0.0000 7.4516" Properties=species:S:1:pos:R:3 pbc="T T T"
Na 0.0000 0.0000 0.0000
Ca 0.0000 0.0000 3.7258
Hg 1.8838 1.8838 1.8407
Hg 1.8838 1.8838 5.6109
```